No. 1
Below is Cs2P2Ir after structural relaxation, with properties calculated at the PBE level.

a b c (Å): 6.322 6.322 6.070
angles (deg): 90.00 90.00 90.00
Space group P4/mbm (No. 127)
Symmetry-distinct sites (fractional):
1 Cs 0.185 0.315 0.000
2 P 0.131 0.631 0.500
3 Ir 0.000 0.000 0.500

Values from the calculation:
E_form: -10 kJ/mol of atoms

=====

No. 2
Below is Ga6Cu5 after structural relaxation, with properties calculated at the PBE level.

a b c (Å): 7.718 9.927 4.554
angles (deg): 90.00 110.61 90.00
Space group C2/m (No. 12)
Symmetry-distinct sites (fractional):
1 Ga 0.196 0.000 0.165
2 Ga 0.199 0.149 0.667
3 Cu 0.000 0.225 0.000
4 Cu 0.000 0.367 0.500
5 Cu 0.000 0.500 0.000

Values from the calculation:
relative energy among the computed polymorphs: 6 meV per atom
E_form: -1 kJ/mol of atoms

=====

No. 3
Below is Sc5Tl after structural relaxation, with properties calculated at the PBE level.

a b c (Å): 8.387 8.387 8.387
angles (deg): 90.00 90.00 90.00
Space group F-43m (No. 216)
Symmetry-distinct sites (fractional):
1 Sc 0.000 0.000 0.000
2 Sc 0.126 0.126 0.626
3 Tl 0.250 0.250 0.250

Values from the calculation:
relative energy among the computed polymorphs: 287 meV per atom
E_form: 16 kJ/mol of atoms

=====

No. 4
Below is Sc3HgO after structural relaxation, with properties calculated at the PBE level.

a b c (Å): 6.095 6.335 6.422
angles (deg): 104.38 104.41 118.72
Space group P1 (No. 1)
Symmetry-distinct sites (fractional):
1 Sc 0.000 0.000 0.000
2 Sc 0.025 0.531 0.136
3 Sc 0.448 0.491 0.940
4 Sc 0.512 0.011 0.667
5 Sc 0.925 0.956 0.469
6 Sc 0.951 0.495 0.620
7 Hg 0.429 0.465 0.476
8 Hg 0.520 0.015 0.128
9 O 0.093 0.748 0.469
10 O 0.973 0.249 0.807

Values from the calculation:
relative energy among the computed polymorphs: 149 meV per atom

=====

| no. | DOS at the Fermi energy (states/eV per atom) | electronic total energy (eV/atom) |
| --- | --- | --- |
| 1 | 0.41 | -4.3764 |
| 2 | 0.35 | -3.5214 |
| 3 | 1.30 | -5.5050 |
| 4 | 1.23 | -6.1946 |